# PdPb5

Crystalline PdPb5 at its relaxed geometry (PBE-GGA, the Alexandria database).

Properties
Energy above the lowest structure with this stoichiometry   5.9 kJ/mol of atoms
Calculated formation energy   0.0 eV per formula unit
Total energy   -3.96 eV/atom
Magnetic moment   0.000 μB/atom

Lattice parameters (Å, degrees): 4.949 4.688 7.583 108.01 90.00 90.00
Element x y z (fractional)
Pb (0.000, 0.350, 0.700)
Pb (0.000, 0.650, 0.300)
Pb (0.500, 0.841, 0.683)
Pb (0.500, 0.500, 0.000)
Pb (0.500, 0.159, 0.317)
Pd (0.000, 0.000, 0.000)